No. 1
A relaxed NiSn4Hg2 crystal, computed with PBE.

Summary:
total energy: -3.08 eV/atom
ΔE_f: 0.1217 eV/atom

Unit cell a=4.795 b=4.795 c=17.289 alpha=90.00 beta=90.00 gamma=90.00
Space group I4/mmm (No. 139)
Symmetry-distinct sites (fractional):
Ni 0.000 0.000 0.000
Sn 0.000 0.000 0.154
Sn 0.000 0.500 0.000
Hg 0.000 0.000 0.342

***

No. 2
A relaxed Ni2SnHg2 crystal, computed with PBE.

Summary:
total energy: -2.92 eV/atom
ΔE_f: 0.3175 eV/atom

Unit cell a=4.014 b=4.014 c=12.059 alpha=90.00 beta=90.00 gamma=90.00
Space group I4/mmm (No. 139)
Symmetry-distinct sites (fractional):
Ni 0.000 0.000 0.095
Sn 0.000 0.000 0.500
Hg 0.000 0.500 0.250